1.
Sm5Dy12Cd2: optimized geometry, PBE.

Cell and atoms, written as extended XYZ:
```
19
Lattice="7.7481 -4.6304 0.0000 7.7481 4.6304 0.0000 -0.3002 0.0000 8.3222" Properties=species:S:1:pos:R:3 pbc="T T T"
Sm 0.0000 0.0000 0.0000
Sm 3.6033 0.0000 0.6328
Sm 4.4896 0.0000 4.0343
Sm 10.7065 0.0000 4.2879
Sm 11.5927 0.0000 7.6895
Dy 5.4149 2.9380 2.1830
Dy 1.0998 0.0000 3.1704
Dy 5.5372 1.7850 6.8902
Dy 9.7811 2.9380 6.1393
Dy 9.6588 1.7850 1.4320
Dy 6.8441 0.0000 1.4507
Dy 8.3519 0.0000 6.8715
Dy 5.5372 -1.7850 6.8902
Dy 5.4149 -2.9380 2.1830
Dy 9.6588 -1.7850 1.4320
Dy 14.0962 0.0000 5.1518
Dy 9.7811 -2.9380 6.1393
Cd 7.5980 1.6090 4.1611
Cd 7.5980 -1.6090 4.1611
```

Values from the calculation:
* raw total energy: -4.20 eV per atom
* total magnetization: 0.000 μB per formula unit
* ΔH_f (0 K): 0.044 eV/atom
* volume: 597.2 Å³/f.u.


2.
Sm3DyCd: optimized geometry, PBE.

Cell and atoms, written as extended XYZ:
```
20
Lattice="7.4673 -6.5674 0.0000 7.4673 6.5674 0.0000 -1.5749 0.0000 6.3107" Properties=species:S:1:pos:R:3 pbc="T T T"
Sm 0.7742 0.8899 2.9598
Sm 4.0867 2.4493 2.3189
Sm -0.0132 -0.8899 6.1152
Sm 3.1188 0.9328 5.4341
Sm 3.9063 -0.9328 2.2788
Sm 3.2993 -2.4493 5.4742
Sm 10.0604 2.4493 0.8365
Sm 9.4534 0.9328 4.0319
Sm 10.2408 -0.9328 0.8766
Sm 13.3729 0.8899 0.1955
Sm 9.2730 -2.4493 3.9918
Sm 12.5855 -0.8899 3.3509
Dy 6.0240 3.9772 0.1272
Dy 8.1231 3.9772 3.0282
Dy 5.2366 -3.9772 3.2825
Dy 7.3356 -3.9772 6.1835
Cd 6.2861 1.9544 4.7330
Cd 7.0736 1.0819 1.5777
Cd 6.2861 -1.0819 4.7330
Cd 7.0736 -1.9544 1.5777
```

Values from the calculation:
* raw total energy: -3.96 eV per atom
* total magnetization: 0.000 μB per formula unit
* energy above the lowest structure with this stoichiometry: 0.0 meV per atom
* ΔH_f (0 K): -0.028 eV/atom
* volume: 154.7 Å³/f.u.


3.
Sm3Dy4Cd4: optimized geometry, PBE.

Cell and atoms, written as extended XYZ:
```
11
Lattice="-2.6665 3.5828 8.5160 2.6665 -3.5828 8.5160 2.6665 3.5828 -8.5160" Properties=species:S:1:pos:R:3 pbc="T T T"
Sm 0.0000 0.0000 0.0000
Sm 2.6665 0.0000 6.7323
Sm 0.0000 3.5828 1.7837
Dy 2.6665 1.6794 -3.0817
Dy 2.6665 1.6794 3.0817
Dy 0.0000 1.9034 5.4343
Dy 0.0000 1.9034 11.5977
Cd 0.0000 0.0000 3.0758
Cd 2.6665 2.1245 0.0000
Cd 0.0000 1.4584 8.5160
Cd 0.0000 0.0000 13.9562
```

Values from the calculation:
* raw total energy: -3.40 eV per atom
* total magnetization: 0.000 μB per formula unit
* ΔH_f (0 K): -0.105 eV/atom
* volume: 325.4 Å³/f.u.